Entry 1:
A plane-wave DFT calculation with GGA-PBE was carried out for a geometry-optimized La2CoAu structure.

abc: 4.0861 4.0861 22.1580
angles: 90.00 90.00 120.00
With the nearest neighbours (Å) after each atom.
Space group R3m (No. 160, hexagonal axes)
One atom of each set of equivalent atoms:
1 La 0.0000 0.0000 0.0000 [3 per cell]  3 Co 2.83
2 La 0.0000 0.0000 0.1939 [3 per cell]  3 Co 2.81
3 Co 0.0000 0.0000 0.5963 [3 per cell]  6 La 2.81-2.83
4 Au 0.0000 0.0000 0.4311 [3 per cell]  6 La 3.18-3.20

Summary:
The value obtained for the volume is 106.8 Å³/f.u. The density of states at the Fermi level comes out at 4.9 states/eV per cell. The calculated formation energy comes out at -0.385 eV/atom.



Entry 2:
A plane-wave DFT calculation with GGA-PBE was carried out for a geometry-optimized LaCo3Au structure.

abc: 4.5637 4.5637 4.5637
angles: 90.00 90.00 90.00
With the nearest neighbours (Å) after each atom.
Space group Pm-3m (No. 221)
One atom of each set of equivalent atoms:
1 La 0.0000 0.0000 0.0000 [1 per cell]  6 Co 2.28
2 Co 0.0000 0.0000 0.5000 [3 per cell]  2 La 2.28
3 Au 0.5000 0.5000 0.5000 [1 per cell]  12 Co 3.23

Summary:
The value obtained for the volume is 95.0 Å³/f.u. The density of states at the Fermi level comes out at 6.6 states/eV per cell. As for the offset from the most stable computed form: 741 meV per atom. The calculated formation energy comes out at 1.476 eV/atom.



Entry 3:
A plane-wave DFT calculation with GGA-PBE was carried out for a geometry-optimized LaCoAu2 structure.

abc: 7.8871 4.5477 5.4940
angles: 90.00 118.61 90.00
With the nearest neighbours (Å) after each atom.
Space group Cm (No. 8)
One atom of each set of equivalent atoms:
1 La 0.0000 0.0000 0.0000 [2 per cell]  1 Co 2.71
2 Co 0.1881 0.0000 0.5618 [2 per cell]  6 Au 2.63-2.80, 1 La 2.71
3 Au 0.0319 0.5000 0.5935 [2 per cell]  3 Co 2.63, 3 Au 2.85
4 Au 0.2884 0.5000 0.3634 [2 per cell]  3 Co 2.79-2.80, 3 Au 2.85, 1 La 3.07

Summary:
The value obtained for the volume is 86.5 Å³/f.u. The density of states at the Fermi level comes out at 7.5 states/eV per cell. The calculated formation energy comes out at -0.337 eV/atom.